Record 1
The following is a GGA-PBEsol calculation of a relaxed Fe2MoPb crystal, from the Alexandria database.

Cell: 3.1137 3.1137 6.0390 Å, 90.00 90.00 90.00°
Closest atoms and distances in Å follow each position.
Element x y z (fractional)
Fe 0.0000 0.0000 0.7869  4 Mo 2.55, 1 Fe 2.57, 4 Pb 2.80
Fe 0.0000 0.0000 0.2131  4 Mo 2.55, 1 Fe 2.57, 4 Pb 2.80
Mo 0.5000 0.5000 0.0000  8 Fe 2.55
Pb 0.5000 0.5000 0.5000  8 Fe 2.80, 2 Mo 3.02, 4 Pb 3.11

Values from the calculation:
* formation enthalpy at 0 K: 0.461 eV per atom


Record 2
The following is a GGA-PBEsol calculation of a relaxed Fe2MoPb crystal, from the Alexandria database.

Cell: 3.1355 4.3402 5.1102 Å, 115.13 107.87 90.00°
Closest atoms and distances in Å follow each position.
Element x y z (fractional)
Fe 0.0185 0.0185 0.0371  2 Fe 2.42, 4 Mo 2.69
Fe 0.7310 0.2310 0.4620  2 Fe 2.42, 4 Pb 2.69
Mo 0.4879 0.4879 0.9758  6 Fe 2.69-2.73, 4 Pb 2.86-2.93
Pb 0.2625 0.7625 0.5250  6 Fe 2.69-2.72, 4 Mo 2.86-2.93

Values from the calculation:
* formation enthalpy at 0 K: 0.542 eV per atom


Record 3
The following is a GGA-PBEsol calculation of a relaxed RbFe2MoPb crystal, from the Alexandria database.

Cell: 4.5596 4.5596 5.4892 Å, 90.00 90.00 90.00°
Closest atoms and distances in Å follow each position.
Element x y z (fractional)
Pb 0.5000 0.5000 0.5000  4 Rb 3.22, 8 Fe 3.57
Mo 0.0000 0.0000 0.0000  4 Fe 2.28
Fe 0.0000 0.5000 0.0000  2 Mo 2.28
Fe 0.5000 0.0000 0.0000  2 Mo 2.28
Rb 0.0000 0.0000 0.5000  2 Mo 2.74

Values from the calculation:
* formation enthalpy at 0 K: 1.673 eV per atom


Record 4
The following is a GGA-PBEsol calculation of a relaxed FeSn2MoPb crystal, from the Alexandria database.

Cell: 5.2454 5.5572 5.5572 Å, 90.00 90.00 90.00°
Closest atoms and distances in Å follow each position.
Element x y z (fractional)
Pb 0.0000 0.0000 0.0000  2 Mo 2.62, 4 Sn 2.78
Mo 0.5000 0.0000 0.0000  2 Pb 2.62
Sn 0.0000 0.0000 0.5000  2 Pb 2.78
Sn 0.0000 0.5000 0.0000  2 Pb 2.78
Fe 0.5000 0.5000 0.5000  8 Sn 3.82, 4 Mo 3.93

Values from the calculation:
* formation enthalpy at 0 K: 2.099 eV per atom


Record 5
The following is a GGA-PBEsol calculation of a relaxed Fe2MoPt crystal, from the Alexandria database.

Cell: 3.7539 3.7539 4.5150 Å, 114.56 114.56 90.00°
Closest atoms and distances in Å follow each position.
Element x y z (fractional)
Fe 0.7500 0.2500 0.5000  4 Mo 2.62, 4 Pt 2.62, 4 Fe 2.65
Fe 0.2500 0.7500 0.5000  4 Pt 2.62, 4 Mo 2.62, 4 Fe 2.65
Mo 0.0000 0.0000 0.0000  8 Fe 2.62, 4 Pt 2.65
Pt 0.5000 0.5000 0.0000  8 Fe 2.62, 4 Mo 2.65

Values from the calculation:
* formation enthalpy at 0 K: -0.061 eV per atom


Record 6
The following is a GGA-PBEsol calculation of a relaxed FeMo2Pt crystal, from the Alexandria database.

Cell: 2.6782 2.6782 7.6171 Å, 90.00 90.00 90.00°
Closest atoms and distances in Å follow each position.
Element x y z (fractional)
Mo 0.0000 0.0000 0.7269  4 Fe 2.56, 4 Mo 2.68, 4 Pt 2.81
Mo 0.0000 0.0000 0.2731  4 Fe 2.56, 4 Mo 2.68, 4 Pt 2.81
Fe 0.5000 0.5000 0.5000  8 Mo 2.56, 4 Fe 2.68
Pt 0.5000 0.5000 0.0000  4 Pt 2.68, 8 Mo 2.81

Values from the calculation:
* relative energy among the computed polymorphs: 0 meV per atom
* formation enthalpy at 0 K: -0.152 eV per atom


no.,uncorrected energy (eV/cell)
1,-31.85
2,-31.52
3,-26.35
4,-22.75
5,-36.90
6,-40.07